First-principles (PBE) data for a relaxed structure of GaHPd2, as listed in Alexandria.

abc: 4.1739 4.1739 4.1739
angles: 60.00 60.00 60.00
Sites, in units of the cell vectors:
H: 0.0000 0.0000 0.0000
Ga: 0.5000 0.5000 0.5000
Pd: 0.2500 0.2500 0.2500
Pd: 0.7500 0.7500 0.7500

Computed properties:
SG ... No. 225
M_tot ... 0.00 μB/cell

---

First-principles (PBE) data for a relaxed structure of GaH6Pd8, as listed in Alexandria.

abc: 5.4242 5.4242 5.4242
angles: 94.51 94.51 94.51
Sites, in units of the cell vectors:
Ga: 0.0000 0.0000 0.0000
H: 0.6683 0.3812 0.8030
H: 0.3812 0.8030 0.6683
H: 0.8030 0.6683 0.3812
H: 0.3317 0.6188 0.1970
H: 0.6188 0.1970 0.3317
H: 0.1970 0.3317 0.6188
Pd: 0.6941 0.6941 0.6941
Pd: 0.3059 0.3059 0.3059
Pd: 0.6004 0.8744 0.2059
Pd: 0.8744 0.2059 0.6004
Pd: 0.2059 0.6004 0.8744
Pd: 0.3996 0.1256 0.7941
Pd: 0.1256 0.7941 0.3996
Pd: 0.7941 0.3996 0.1256

Computed properties:
SG ... No. 148
M_tot ... 0.00 μB/cell

---

First-principles (PBE) data for a relaxed structure of GaHPd4, as listed in Alexandria.

abc: 4.0554 4.1205 5.4979
angles: 67.95 90.00 90.01
Sites, in units of the cell vectors:
Ga: 0.4561 0.4973 0.9982
H: 0.1922 0.9971 0.4979
Pd: 0.4712 0.8530 0.2918
Pd: 0.4709 0.1417 0.7045
Pd: 0.9586 0.6248 0.7046
Pd: 0.9587 0.3698 0.2918

Computed properties:
SG ... No. 3
M_tot ... 0.00 μB/cell

---

First-principles (PBE) data for a relaxed structure of GaH2Pd6, as listed in Alexandria.

abc: 4.0088 5.3923 6.3256
angles: 82.49 71.53 68.18
Sites, in units of the cell vectors:
Ga: 0.0000 0.5000 0.5000
H: 0.1796 0.8161 0.8247
H: 0.8204 0.1839 0.1753
Pd: 0.6857 0.7852 0.8434
Pd: 0.3143 0.2148 0.1566
Pd: 0.0265 0.7893 0.1578
Pd: 0.3464 0.8019 0.5053
Pd: 0.9735 0.2107 0.8422
Pd: 0.6536 0.1981 0.4947

Computed properties:
SG ... No. 12
M_tot ... 0.00 μB/cell

---

First-principles (PBE) data for a relaxed structure of Ga2HPd6, as listed in Alexandria.

abc: 4.0206 4.0206 9.5406
angles: 102.16 102.16 90.00
Sites, in units of the cell vectors:
Ga: 0.1680 0.1680 0.3360
Ga: 0.8320 0.8320 0.6640
H: 0.5000 0.5000 0.0000
Pd: 0.8138 0.3012 0.1150
Pd: 0.6988 0.6988 0.8850
Pd: 0.3012 0.8138 0.1150
Pd: 0.1862 0.1862 0.8850
Pd: 0.7500 0.2500 0.5000
Pd: 0.2500 0.7500 0.5000

Computed properties:
SG ... No. 121
M_tot ... 0.00 μB/cell

---

First-principles (PBE) data for a relaxed structure of GaH5Pd4, as listed in Alexandria.

abc: 4.2934 5.6334 8.1673
angles: 90.00 90.00 90.00
Sites, in units of the cell vectors:
Ga: 0.8643 0.0000 0.0000
Ga: 0.1357 0.5000 0.5000
H: 0.2395 0.7227 0.7934
H: 0.2395 0.2773 0.7934
H: 0.6508 0.5000 0.0000
H: 0.2395 0.7227 0.2066
H: 0.2395 0.2773 0.2066
H: 0.7605 0.7773 0.2934
H: 0.7605 0.2227 0.2934
H: 0.3492 0.0000 0.5000
H: 0.7605 0.2227 0.7066
H: 0.7605 0.7773 0.7066
Pd: 0.0953 0.0000 0.7057
Pd: 0.3761 0.7495 0.0000
Pd: 0.3761 0.2505 0.0000
Pd: 0.0953 0.0000 0.2943
Pd: 0.9047 0.5000 0.2057
Pd: 0.6239 0.7505 0.5000
Pd: 0.6239 0.2495 0.5000
Pd: 0.9047 0.5000 0.7943

Computed properties:
SG ... No. 59
M_tot ... 0.00 μB/cell

---

First-principles (PBE) data for a relaxed structure of Ga5H2Pd12, as listed in Alexandria.

abc: 5.5539 7.7546 8.2526
angles: 118.61 90.00 110.98
Sites, in units of the cell vectors:
Ga: 0.3399 0.6797 0.6681
Ga: 0.2831 0.5661 0.0981
Ga: 0.0000 0.0000 0.5000
Ga: 0.7169 0.4339 0.9019
Ga: 0.6601 0.3203 0.3319
H: 0.8447 0.0000 0.0000
H: 0.1553 0.0000 0.0000
Pd: 0.0599 0.1198 0.2611
Pd: 0.1293 0.7512 0.9625
Pd: 0.6218 0.7512 0.9625
Pd: 0.0725 0.6472 0.3904
Pd: 0.5747 0.6472 0.3904
Pd: 0.5149 0.0298 0.6765
Pd: 0.4851 0.9702 0.3235
Pd: 0.9275 0.3528 0.6096
Pd: 0.4253 0.3528 0.6096
Pd: 0.8707 0.2488 0.0375
Pd: 0.3782 0.2488 0.0375
Pd: 0.9401 0.8802 0.7389

Computed properties:
SG ... No. 12
M_tot ... 0.00 μB/cell

---

First-principles (PBE) data for a relaxed structure of GaHPd2, as listed in Alexandria.

abc: 2.9620 5.1351 7.7699
angles: 115.61 112.01 90.15
Sites, in units of the cell vectors:
Ga: 0.6030 0.9208 0.5687
Ga: 0.1069 0.4166 0.5730
H: 0.0738 0.8982 0.0449
H: 0.6361 0.4394 0.0970
Pd: 0.4150 0.9571 0.8789
Pd: 0.7928 0.8787 0.2593
Pd: 0.2950 0.3803 0.2628
Pd: 0.9171 0.4587 0.8824

Computed properties:
SG ... No. 2
M_tot ... 0.00 μB/cell

---

Number 1: uncorrected energy -4.213 eV/atom. Number 2: uncorrected energy -4.495 eV/atom. Number 3: uncorrected energy -4.794 eV/atom. Number 4: uncorrected energy -4.695 eV/atom. Number 5: uncorrected energy -4.672 eV/atom. Number 6: uncorrected energy -4.136 eV/atom. Number 7: uncorrected energy -4.781 eV/atom. Number 8: uncorrected energy -4.518 eV/atom.